# 1
DFT (PBE-GGA) results for an optimized crystal structure of YMg2Br.

Output
Total moment = 0.72 Bohr magnetons per cell
N(E_F) = 0.9225 states/eV/atom
Polymorph energy (0 for the lowest one) = 114.2 meV per atom
Space group = P4/mmm, No. 123

abc: 3.5092 3.5092 8.7248
angles: 90.00 90.00 90.00
Closest atoms and distances in Å follow each position.
Element x y z (fractional)
Y: 0.0000 0.0000 0.0000  8 Mg 3.36, 4 Y 3.51
Mg: 0.5000 0.5000 0.2604  4 Br 3.24, 4 Y 3.36, 4 Mg 3.51
Mg: 0.5000 0.5000 0.7396  4 Br 3.24, 4 Y 3.36, 4 Mg 3.51
Br: 0.0000 0.0000 0.5000  8 Mg 3.24, 4 Br 3.51

# 2
DFT (PBE-GGA) results for an optimized crystal structure of TiP2H2O8.

Output
VASP energy = -7.16 eV per atom
Total moment = 0.00 Bohr magnetons per cell
N(E_F) = 0.0000 states/eV/atom
Space group = P2_1/c, No. 14

abc: 5.2384 6.3968 19.2381
angles: 90.00 90.05 90.00
Closest atoms and distances in Å follow each position.
Element x y z (fractional)
Ti: 0.2407 0.2482 0.3290  6 O 1.90-2.02
Ti: 0.2407 0.2518 0.8290  6 O 1.90-2.02
Ti: 0.7593 0.7482 0.1710  6 O 1.90-2.02
Ti: 0.7593 0.7518 0.6710  6 O 1.90-2.02
P: 0.2441 0.6629 0.0639  4 O 1.51-1.60
P: 0.2441 0.8371 0.5639  4 O 1.51-1.60
P: 0.2655 0.7459 0.2846  4 O 1.54-1.55
P: 0.2655 0.7541 0.7846  4 O 1.54-1.55
P: 0.7345 0.2459 0.2154  4 O 1.54-1.55
P: 0.7345 0.2541 0.7154  4 O 1.54-1.55
P: 0.7559 0.1629 0.4361  4 O 1.51-1.60
P: 0.7559 0.3371 0.9361  4 O 1.51-1.60
H: 0.1514 0.7068 0.9531  1 O 0.99
H: 0.1514 0.7932 0.4531  1 O 0.99
H: 0.3897 0.1566 0.5525  1 O 0.99
H: 0.3897 0.3434 0.0525  1 O 0.99
H: 0.6103 0.6566 0.9475  1 O 0.99
H: 0.6103 0.8434 0.4475  1 O 0.99
H: 0.8486 0.2068 0.5469  1 O 0.99
H: 0.8486 0.2932 0.0469  1 O 0.99
O: 0.0157 0.2418 0.4142  1 P 1.51
O: 0.0157 0.2582 0.9142  1 P 1.51
O: 0.0515 0.7451 0.2293  1 P 1.54
O: 0.0515 0.7549 0.7293  1 P 1.54
O: 0.2281 0.0857 0.5659  1 H 0.99
O: 0.2281 0.4143 0.0659  1 H 0.99
O: 0.2424 0.5512 0.3314  1 P 1.54
O: 0.2424 0.9488 0.8314  1 P 1.54
O: 0.2434 0.5608 0.8317  1 P 1.54
O: 0.2434 0.9392 0.3317  1 P 1.54
O: 0.2973 0.7289 0.9847  1 H 0.99
O: 0.2973 0.7711 0.4847  1 H 0.99
O: 0.4724 0.7449 0.1031  1 P 1.51
O: 0.4724 0.7551 0.6031  1 P 1.51
O: 0.4733 0.2451 0.2526  1 P 1.55
O: 0.4733 0.2549 0.7526  1 P 1.55
O: 0.5267 0.7451 0.2474  1 P 1.55
O: 0.5267 0.7549 0.7474  1 P 1.55
O: 0.5276 0.2449 0.3969  1 P 1.51
O: 0.5276 0.2551 0.8969  1 P 1.51
O: 0.7027 0.2289 0.5153  1 H 0.99
O: 0.7027 0.2711 0.0153  1 H 0.99
O: 0.7566 0.0608 0.6683  1 P 1.54
O: 0.7566 0.4392 0.1683  1 P 1.54
O: 0.7576 0.0512 0.1686  1 P 1.54
O: 0.7576 0.4488 0.6686  1 P 1.54
O: 0.7719 0.5857 0.9341  1 H 0.99
O: 0.7719 0.9143 0.4341  1 H 0.99
O: 0.9485 0.2451 0.2707  1 P 1.54
O: 0.9485 0.2549 0.7707  1 P 1.54
O: 0.9843 0.7418 0.0858  1 P 1.51
O: 0.9843 0.7582 0.5858  1 P 1.51

# 3
DFT (PBE-GGA) results for an optimized crystal structure of AlPPd4.

Output
ΔH_f (0 K) = -0.654 eV/atom
Total moment = 0.00 Bohr magnetons per cell
N(E_F) = 0.2330 states/eV/atom
Polymorph energy (0 for the lowest one) = 0.0 meV per atom
Space group = Pm, No. 6

abc: 6.6701 3.4393 11.4989
angles: 90.00 90.00 90.00
Closest atoms and distances in Å follow each position.
Element x y z (fractional)
Al: 0.0000 0.0000 0.0000  9 Pd 2.50-2.70
Al: 0.0026 0.0000 0.3326  9 Pd 2.52-2.70
Al: 0.5015 0.0000 0.4980  9 Pd 2.52-2.72
P: 0.4970 0.0000 0.8319  9 Pd 2.42-2.70
P: 0.5022 0.5000 0.1663  9 Pd 2.41-2.67
P: 0.9971 0.5000 0.6655  9 Pd 2.41-2.69
Pd: 0.1304 0.0000 0.5403  2 P 2.41, 2 Al 2.52-2.54
Pd: 0.1365 0.0000 0.7952  3 P 2.44-2.46, 1 Al 2.52
Pd: 0.2456 0.0000 0.1643  2 P 2.43, 2 Al 2.50-2.52
Pd: 0.3031 0.5000 0.3653  1 P 2.65, 4 Al 2.65-2.67, 6 Pd 2.89-2.91
Pd: 0.3061 0.5000 0.9643  3 P 2.63-2.67, 2 Al 2.70, 6 Pd 2.83-2.90
Pd: 0.3998 0.5000 0.6712  3 P 2.61-2.69, 2 Al 2.72, 6 Pd 2.83-2.91
Pd: 0.6241 0.0000 0.0294  3 P 2.42-2.47, 1 Al 2.53
Pd: 0.6306 0.0000 0.2925  2 P 2.41, 2 Al 2.52
Pd: 0.7369 0.0000 0.6720  3 P 2.44, 1 Al 2.54
Pd: 0.8028 0.5000 0.4700  1 P 2.59, 4 Al 2.66-2.69, 2 Pd 2.90
Pd: 0.8048 0.5000 0.8630  3 P 2.61-2.70, 2 Al 2.67, 6 Pd 2.83-2.91
Pd: 0.8946 0.5000 0.1633  1 P 2.62, 4 Al 2.64-2.70, 6 Pd 2.88-2.93

# 4
DFT (PBE-GGA) results for an optimized crystal structure of HfBi3P.

Output
ΔH_f (0 K) = 0.740 eV/atom
Total moment = 0.00 Bohr magnetons per cell
N(E_F) = 0.6304 states/eV/atom
Polymorph energy (0 for the lowest one) = 0.0 meV per atom
Space group = Pm-3m, No. 221

abc: 5.3130 5.3130 5.3130
angles: 90.00 90.00 90.00
Closest atoms and distances in Å follow each position.
Element x y z (fractional)
Hf: 0.0000 0.0000 0.0000  12 Bi 3.76
Bi: 0.0000 0.5000 0.5000  2 P 2.66
Bi: 0.5000 0.0000 0.5000  2 P 2.66
Bi: 0.5000 0.5000 0.0000  2 P 2.66
P: 0.5000 0.5000 0.5000  6 Bi 2.66

# 5
DFT (PBE-GGA) results for an optimized crystal structure of Ca2SnAu6.

Output
ΔH_f (0 K) = -0.466 eV/atom
Total moment = 0.00 Bohr magnetons per cell
N(E_F) = 0.2980 states/eV/atom
Polymorph energy (0 for the lowest one) = 70.7 meV per atom
Space group = Fm-3m, No. 225

abc: 6.6734 6.6734 6.6734
angles: 60.00 60.00 60.00
Closest atoms and distances in Å follow each position.
Element x y z (fractional)
Ca: 0.2500 0.2500 0.2500  12 Au 3.35
Ca: 0.7500 0.7500 0.7500  12 Au 3.35
Sn: 0.0000 0.0000 0.0000  6 Au 2.68
Au: 0.2842 0.2842 0.7158  1 Sn 2.68, 4 Au 2.88
Au: 0.2842 0.7158 0.2842  1 Sn 2.68, 4 Au 2.88
Au: 0.2842 0.7158 0.7158  1 Sn 2.68, 4 Au 2.88
Au: 0.7158 0.2842 0.2842  1 Sn 2.68, 4 Au 2.88
Au: 0.7158 0.2842 0.7158  1 Sn 2.68, 4 Au 2.88
Au: 0.7158 0.7158 0.2842  1 Sn 2.68, 4 Au 2.88

# 6
DFT (PBE-GGA) results for an optimized crystal structure of HoBrCl2.

Output
Total moment = 0.00 Bohr magnetons per cell
N(E_F) = 0.0000 states/eV/atom
Polymorph energy (0 for the lowest one) = 31.7 meV per atom
Space group = Cmcm, No. 63

abc: 7.3936 7.3936 8.6415
angles: 90.00 90.00 150.06
Closest atoms and distances in Å follow each position.
Element x y z (fractional)
Ho: 0.2411 0.7589 0.7500  6 Cl 2.77-2.97, 2 Br 2.80
Ho: 0.7589 0.2411 0.2500  6 Cl 2.77-2.97, 2 Br 2.80
Br: 0.4024 0.5976 0.2500  2 Ho 2.80
Br: 0.5976 0.4024 0.7500  2 Ho 2.80
Cl: 0.1681 0.8319 0.0718  3 Ho 2.77-2.97, 1 Cl 3.08
Cl: 0.1681 0.8319 0.4282  3 Ho 2.77-2.97, 1 Cl 3.08
Cl: 0.8319 0.1681 0.5718  3 Ho 2.77-2.97, 1 Cl 3.08
Cl: 0.8319 0.1681 0.9282  3 Ho 2.77-2.97, 1 Cl 3.08

# 7
DFT (PBE-GGA) results for an optimized crystal structure of Re5Te.

Output
Total moment = 0.00 Bohr magnetons per cell
N(E_F) = 0.9567 states/eV/atom
Polymorph energy (0 for the lowest one) = 53.5 meV per atom
Space group = Amm2, No. 38

abc: 4.4665 7.5303 7.5303
angles: 22.26 90.00 90.00
Closest atoms and distances in Å follow each position.
Element x y z (fractional)
Re: 0.0000 0.0000 0.0000  10 Re 2.80-3.06, 2 Te 2.84
Re: 0.0000 0.3175 0.3175  6 Re 2.72-2.91, 4 Te 2.83
Re: 0.0000 0.6617 0.6617  12 Re 2.71-2.91
Re: 0.5000 0.2084 0.2084  10 Re 2.66-2.91, 2 Te 2.94
Re: 0.5000 0.5577 0.5577  10 Re 2.66-2.91
Te: 0.5000 0.8814 0.8814  10 Re 2.83-2.98, 2 Te 2.91

# 8
DFT (PBE-GGA) results for an optimized crystal structure of PmLu2Be.

Output
ΔH_f (0 K) = 0.047 eV/atom
Total moment = 0.00 Bohr magnetons per cell
N(E_F) = 0.9292 states/eV/atom
Space group = P4/mmm, No. 123

abc: 3.3910 3.3910 8.7095
angles: 90.00 90.00 90.00
Closest atoms and distances in Å follow each position.
Element x y z (fractional)
Pm: 0.0000 0.0000 0.0000  4 Pm 3.39, 8 Lu 3.63
Lu: 0.5000 0.5000 0.3123  4 Be 2.90
Lu: 0.5000 0.5000 0.6877  4 Be 2.90
Be: 0.0000 0.0000 0.5000  8 Lu 2.90

# 9
DFT (PBE-GGA) results for an optimized crystal structure of InSO6.

Output
VASP energy = -5.04 eV per atom
Total moment = 3.07 Bohr magnetons per cell
N(E_F) = 0.3594 states/eV/atom
Space group = R-3, No. 148

abc: 5.2094 5.2094 5.2094
angles: 56.05 56.05 56.05
Closest atoms and distances in Å follow each position.
Element x y z (fractional)
In: 0.0000 0.0000 0.0000  6 O 2.20
S: 0.5000 0.5000 0.5000  6 O 1.63
O: 0.1559 0.4300 0.7000  1 S 1.63
O: 0.3000 0.8441 0.5700  1 S 1.63
O: 0.4300 0.7000 0.1559  1 S 1.63
O: 0.5700 0.3000 0.8441  1 S 1.63
O: 0.7000 0.1559 0.4300  1 S 1.63
O: 0.8441 0.5700 0.3000  1 S 1.63

# 10
DFT (PBE-GGA) results for an optimized crystal structure of Ta2Pd2RhS6.

Output
VASP energy = -6.62 eV per atom
Total moment = 0.00 Bohr magnetons per cell
N(E_F) = 0.4309 states/eV/atom
Space group = C2/m, No. 12

abc: 6.1150 6.1150 6.2913
angles: 94.05 94.05 123.32
Closest atoms and distances in Å follow each position.
Element x y z (fractional)
Ta: 0.1346 0.8654 0.0000  6 S 2.45-2.63
Ta: 0.8654 0.1346 0.0000  6 S 2.45-2.63
Pd: 0.1453 0.8547 0.5000  4 S 2.40-2.59
Pd: 0.8547 0.1453 0.5000  4 S 2.40-2.59
Rh: 0.5000 0.5000 0.0000  6 S 2.41-2.53
S: 0.1505 0.4893 0.7860  1 Pd 2.40, 1 Rh 2.41, 2 Ta 2.48-2.63
S: 0.2203 0.2203 0.2720  2 Ta 2.45, 1 Rh 2.53, 2 Pd 2.59
S: 0.4893 0.1505 0.7860  1 Pd 2.40, 1 Rh 2.41, 2 Ta 2.48-2.63
S: 0.5107 0.8495 0.2140  1 Pd 2.40, 1 Rh 2.41, 2 Ta 2.48-2.63
S: 0.7797 0.7797 0.7280  2 Ta 2.45, 1 Rh 2.53, 2 Pd 2.59
S: 0.8495 0.5107 0.2140  1 Pd 2.40, 1 Rh 2.41, 2 Ta 2.48-2.63

# 11
DFT (PBE-GGA) results for an optimized crystal structure of Rb2NbHgF6.

Output
VASP energy = -4.89 eV per atom
Total moment = 1.00 Bohr magnetons per cell
N(E_F) = 0.8739 states/eV/atom
Space group = Fm-3m, No. 225

abc: 7.0139 7.0139 7.0139
angles: 60.00 60.00 60.00
Closest atoms and distances in Å follow each position.
Element x y z (fractional)
Rb: 0.2500 0.2500 0.2500  12 F 3.54
Rb: 0.7500 0.7500 0.7500  12 F 3.54
Nb: 0.0000 0.0000 0.0000  6 F 2.01
Hg: 0.5000 0.5000 0.5000  6 F 2.95
F: 0.2028 0.2028 0.7972  1 Nb 2.01
F: 0.2028 0.7972 0.2028  1 Nb 2.01
F: 0.2028 0.7972 0.7972  1 Nb 2.01
F: 0.7972 0.2028 0.2028  1 Nb 2.01
F: 0.7972 0.2028 0.7972  1 Nb 2.01
F: 0.7972 0.7972 0.2028  1 Nb 2.01

# 12
DFT (PBE-GGA) results for an optimized crystal structure of NdSmTh2Sb4.

Output
VASP energy = -6.16 eV per atom
Total moment = 0.00 Bohr magnetons per cell
N(E_F) = 0.5750 states/eV/atom
Space group = P2/m, No. 10

abc: 7.7841 4.5089 7.8066
angles: 90.00 109.60 90.00
Closest atoms and distances in Å follow each position.
Element x y z (fractional)
Nd: 0.0000 0.0000 0.0000  6 Sb 3.19
Sm: 0.0000 0.5000 0.5000  6 Sb 3.17-3.18
Th: 0.5000 0.0000 0.5000  6 Sb 3.18
Th: 0.5000 0.5000 0.0000  6 Sb 3.19
Sb: 0.2488 0.0000 0.7482  2 Sm 3.17, 3 Th 3.18-3.19, 1 Nd 3.19
Sb: 0.2500 0.5000 0.2514  1 Sm 3.18, 3 Th 3.18-3.19, 2 Nd 3.19
Sb: 0.7500 0.5000 0.7486  1 Sm 3.18, 3 Th 3.18-3.19, 2 Nd 3.19
Sb: 0.7512 0.0000 0.2518  2 Sm 3.17, 3 Th 3.18-3.19, 1 Nd 3.19

Among the records above, which one has the highest total moment? InSO6

The highest N(E_F) belongs to which entry? Re5Te